This record from Alexandria describes a geometry-optimized CaNiP2 structure. The functional is PBE.

Unit cell a=5.732 b=5.732 c=4.085 alpha=90.00 beta=90.00 gamma=39.08
Fractional coordinates of all 4 atoms:
Ca 0.525 0.525 0.500
Ni 0.317 0.317 0.000
P 0.933 0.933 0.000
P 0.726 0.726 0.000

Values from the calculation:
Size of the total moment ... 0.00 μB per formula unit
Energy of formation ... -12.47 kcal/mol of atoms

This record from Alexandria describes a geometry-optimized CaNi2P2 structure. The functional is PBE.

Unit cell a=4.167 b=4.167 c=5.336 alpha=67.02 beta=67.02 gamma=90.00
Fractional coordinates of all 5 atoms:
Ni 0.353 0.353 0.293
Ni 0.647 0.647 0.707
Ca 0.000 0.000 0.000
P 0.750 0.250 0.500
P 0.250 0.750 0.500

Values from the calculation:
Size of the total moment ... 0.00 μB per formula unit
Energy of formation ... -14.07 kcal/mol of atoms

This record from Alexandria describes a geometry-optimized CaNi3P structure. The functional is PBE.

Unit cell a=4.282 b=4.282 c=4.282 alpha=90.00 beta=90.00 gamma=90.00
Fractional coordinates of all 5 atoms:
Ni 0.000 0.500 0.000
Ni 0.000 0.000 0.500
Ni 0.500 0.000 0.000
Ca 0.500 0.500 0.500
P 0.000 0.000 0.000

Values from the calculation:
Size of the total moment ... 0.00 μB per formula unit
E above lowest polymorph ... 0.000 eV per atom
Energy of formation ... -8.35 kcal/mol of atoms